The following is a DFT calculation (PBE-GGA) of an optimized crystal structure of AcZrCu2.

```
data_AcZrCu2
_space_group_name_H-M_alt 'P 4/m m m'
_space_group_IT_number 123
_space_group_name_Hall '-P 4 2'
_cell_length_a 4.977
_cell_length_b 4.977
_cell_length_c 3.532
_cell_angle_alpha 90.00
_cell_angle_beta 90.00
_cell_angle_gamma 90.00
loop_
_atom_site_label
_atom_site_type_symbol
_atom_site_fract_x
_atom_site_fract_y
_atom_site_fract_z
Ac1 Ac 0.000 0.000 0.000
Zr1 Zr 0.500 0.500 0.000
Cu1 Cu 0.000 0.500 0.500
```

Output
* calculated volume: 87 Å³/cell
* energy relative to the lowest polymorph listed for this composition: 2.66 kcal/mol of atoms
* E_tot: -20.47 eV/f.u.
* crystal system: tetragonal
* E_form: 0.096 eV/atom



The following is a DFT calculation (PBE-GGA) of an optimized crystal structure of Np2MnRh9.

```
data_Np2MnRh9
_space_group_name_H-M_alt 'P 4/m m m'
_space_group_IT_number 123
_space_group_name_Hall '-P 4 2'
_cell_length_a 3.964
_cell_length_b 3.964
_cell_length_c 11.870
_cell_angle_alpha 90.00
_cell_angle_beta 90.00
_cell_angle_gamma 90.00
loop_
_atom_site_label
_atom_site_type_symbol
_atom_site_fract_x
_atom_site_fract_y
_atom_site_fract_z
Np1 Np 0.000 0.000 0.172
Mn1 Mn 0.000 0.000 0.500
Rh1 Rh 0.000 0.500 0.000
Rh2 Rh 0.000 0.500 0.342
Rh3 Rh 0.500 0.500 0.172
Rh4 Rh 0.500 0.500 0.500
```

Output
* calculated volume: 186 Å³/cell
* E_tot: -104.78 eV/f.u.
* crystal system: tetragonal
* E_form: -0.297 eV/atom



The following is a DFT calculation (PBE-GGA) of an optimized crystal structure of LiCoSCl2.

```
data_LiCoSCl2
_space_group_name_H-M_alt 'P 4/m m m'
_space_group_IT_number 123
_space_group_name_Hall '-P 4 2'
_cell_length_a 4.886
_cell_length_b 4.886
_cell_length_c 4.224
_cell_angle_alpha 90.00
_cell_angle_beta 90.00
_cell_angle_gamma 90.00
loop_
_atom_site_label
_atom_site_type_symbol
_atom_site_fract_x
_atom_site_fract_y
_atom_site_fract_z
Li1 Li 0.000 0.000 0.000
Co1 Co 0.500 0.500 0.500
S1 S 0.500 0.500 0.000
Cl1 Cl 0.000 0.500 0.500
```

Output
* calculated volume: 101 Å³/cell
* ΔE_f (raw): -0.49 eV per atom
* energy relative to the lowest polymorph listed for this composition: 0.00 kcal/mol of atoms
* E_tot: -19.28 eV/f.u.
* crystal system: tetragonal



The following is a DFT calculation (PBE-GGA) of an optimized crystal structure of CaInH2.

```
data_CaInH2
_space_group_name_H-M_alt 'I -4 2 d'
_space_group_IT_number 122
_space_group_name_Hall 'I -4 2bw'
_cell_length_a 5.004
_cell_length_b 5.004
_cell_length_c 11.250
_cell_angle_alpha 90.00
_cell_angle_beta 90.00
_cell_angle_gamma 90.00
loop_
_atom_site_label
_atom_site_type_symbol
_atom_site_fract_x
_atom_site_fract_y
_atom_site_fract_z
Ca1 Ca 0.000 0.000 0.000
In1 In 0.000 0.000 0.500
H1 H 0.209 0.250 0.125
```

Output
* calculated volume: 282 Å³/cell
* energy relative to the lowest polymorph listed for this composition: 0.00 kcal/mol of atoms
* E_tot: -11.66 eV/f.u.
* crystal system: tetragonal



The following is a DFT calculation (PBE-GGA) of an optimized crystal structure of GdDyMgAu.

```
data_GdDyMgAu
_space_group_name_H-M_alt 'F -4 3 m'
_space_group_IT_number 216
_space_group_name_Hall 'F -4 2 3'
_cell_length_a 7.381
_cell_length_b 7.381
_cell_length_c 7.381
_cell_angle_alpha 90.00
_cell_angle_beta 90.00
_cell_angle_gamma 90.00
loop_
_atom_site_label
_atom_site_type_symbol
_atom_site_fract_x
_atom_site_fract_y
_atom_site_fract_z
Gd1 Gd 0.000 0.000 0.000
Dy1 Dy 0.000 0.000 0.500
Mg1 Mg 0.250 0.250 0.750
Au1 Au 0.250 0.250 0.250
```

Output
* calculated volume: 402 Å³/cell
* E_tot: -25.17 eV/f.u.
* crystal system: cubic
* E_form: -0.404 eV/atom



The following is a DFT calculation (PBE-GGA) of an optimized crystal structure of MgAu.

```
data_MgAu
_space_group_name_H-M_alt 'P 42/m n m'
_space_group_IT_number 136
_space_group_name_Hall '-P 4n 2n'
_cell_length_a 5.418
_cell_length_b 5.418
_cell_length_c 5.571
_cell_angle_alpha 90.00
_cell_angle_beta 90.00
_cell_angle_gamma 90.00
loop_
_atom_site_label
_atom_site_type_symbol
_atom_site_fract_x
_atom_site_fract_y
_atom_site_fract_z
Mg1 Mg 0.198 0.198 0.000
Au1 Au 0.195 0.195 0.500
```

Output
* calculated volume: 164 Å³/cell
* E_tot: -5.68 eV/f.u.
* crystal system: tetragonal
* E_form: -0.403 eV/atom